RbCoHS2 | GGA-PBE | relaxed

Energy above the most stable polymorph in this dataset, meV/atom: 1044
VASP energy, eV/atom: -2.432
Total magnetic moment, μB/f.u.: 3.7

abc: 5.659 5.659 3.627
angles: 90.00 90.00 90.00
Positions (direct):
Rb  0.000  0.000  0.000
Co  0.500  0.500  0.500
H  0.000  0.000  0.500
S  0.000  0.500  0.000
S  0.500  0.000  0.000

Er8Co2Ge | GGA-PBE | relaxed

VASP energy, eV/atom: -5.210
ΔH_f (0 K), eV/atom: -0.180
Total magnetic moment, μB/f.u.: 0.0

abc: 7.447 7.447 5.693
angles: 98.51 98.51 113.00
Positions (direct):
Er  0.000  0.000  0.000
Er  0.026  0.296  0.583
Er  0.133  0.596  0.191
Er  0.296  0.026  0.583
Er  0.438  0.703  0.784
Er  0.596  0.133  0.191
Er  0.703  0.438  0.784
Er  0.748  0.748  0.397
Co  0.056  0.678  0.696
Co  0.678  0.056  0.696
Ge  0.371  0.371  0.321

Pr2Cu3Si | GGA-PBE | relaxed

VASP energy, eV/atom: -4.911
Total magnetic moment, μB/f.u.: 0.0

abc: 8.498 8.343 5.824
angles: 71.20 68.35 40.45
Positions (direct):
Pr  0.238  0.762  0.762
Pr  0.250  0.250  0.250
Pr  0.750  0.750  0.750
Pr  0.762  0.238  0.238
Cu  0.171  0.171  0.829
Cu  0.171  0.659  0.341
Cu  0.341  0.829  0.171
Cu  0.659  0.171  0.829
Cu  0.829  0.341  0.659
Cu  0.829  0.829  0.171
Si  0.336  0.336  0.664
Si  0.664  0.664  0.336

CaSi2As | GGA-PBE | relaxed

VASP energy, eV/atom: -4.551
Total magnetic moment, μB/f.u.: 0.0

abc: 4.012 4.872 4.546
angles: 90.00 94.16 90.00
Positions (direct):
Ca  0.000  0.000  0.000
Si  0.273  0.500  0.648
Si  0.727  0.500  0.352
As  0.500  0.000  0.500

MgSbCl2 | GGA-PBE | relaxed

Energy above the most stable polymorph in this dataset, meV/atom: 842
VASP energy, eV/atom: -2.634
Total magnetic moment, μB/f.u.: 0.0

abc: 4.606 4.606 4.397
angles: 90.00 90.00 90.00
Positions (direct):
Mg  0.000  0.000  0.000
Sb  0.500  0.500  0.000
Cl  0.000  0.500  0.500
Cl  0.500  0.000  0.500

Zr2BiHPd | GGA-PBE | relaxed

VASP energy, eV/atom: -6.330
Total magnetic moment, μB/f.u.: 0.0

abc: 4.427 4.427 4.381
angles: 90.00 90.00 90.00
Positions (direct):
Zr  0.000  0.500  0.000
Zr  0.500  0.000  0.000
Bi  0.000  0.000  0.500
H  0.500  0.500  0.000
Pd  0.500  0.500  0.500

Repeat the first record exactly.
RbCoHS2 | GGA-PBE | relaxed

Energy above the most stable polymorph in this dataset, meV/atom: 1044
VASP energy, eV/atom: -2.432
Total magnetic moment, μB/f.u.: 3.7

abc: 5.659 5.659 3.627
angles: 90.00 90.00 90.00
Positions (direct):
Rb  0.000  0.000  0.000
Co  0.500  0.500  0.500
H  0.000  0.000  0.500
S  0.000  0.500  0.000
S  0.500  0.000  0.000